# MoPt2W PBE-GGA optimized geometry
data_MoPt2W
_chemical_formula_sum 'Mo3 Pt6 W3'
_cell_length_a 2.7908
_cell_length_b 2.7908
_cell_length_c 27.8393
_cell_angle_alpha 90.00
_cell_angle_beta 90.00
_cell_angle_gamma 120.00
_symmetry_space_group_name_H-M 'R -3 m'
_symmetry_Int_Tables_number 166
_symmetry_space_group_name_Hall '-R 3 2"'
loop_
_atom_site_label
_atom_site_type_symbol
_atom_site_fract_x
_atom_site_fract_y
_atom_site_fract_z
Mo1 Mo 0.0000 0.0000 0.0000
Pt1 Pt 0.0000 0.0000 0.2501
W1 W 0.0000 0.0000 0.5000
# energy relative to the elements = -98 meV/atom
# ρ = 17.77 g/cm3
# energy = -108.8 eV per cell
# spin magnetization = 0.0 μB/cell
# crystal system = trigonal
# Fermi-level density of states = 6.76 states/eV/cell

# Ac2HoErSe4 PBE-GGA optimized geometry
data_Ac2HoErSe4
_chemical_formula_sum 'Ac2 Ho1 Er1 Se4'
_cell_length_a 7.1545
_cell_length_b 4.1123
_cell_length_c 7.7866
_cell_angle_alpha 90.00
_cell_angle_beta 107.72
_cell_angle_gamma 90.00
_symmetry_space_group_name_H-M 'P 1 2/m 1'
_symmetry_Int_Tables_number 10
_symmetry_space_group_name_Hall '-P 2y'
loop_
_atom_site_label
_atom_site_type_symbol
_atom_site_fract_x
_atom_site_fract_y
_atom_site_fract_z
Ac1 Ac 0.0000 0.0000 0.0000
Ac2 Ac 0.5000 0.5000 0.0000
Ho1 Ho 0.0000 0.5000 0.5000
Er1 Er 0.5000 0.0000 0.5000
Se1 Se 0.2394 0.0000 0.7163
Se2 Se 0.2628 0.5000 0.2844
# energy relative to the elements, uncorrected = -1.786 eV per atom
# ρ = 8.39 g/cm3
# energy = -45.6 eV per cell
# spin magnetization = 0.0 μB/cell
# crystal system = monoclinic
# Fermi-level density of states = 2.87 states/eV/cell

# ScMnV3 PBE-GGA optimized geometry
data_ScMnV3
_chemical_formula_sum 'Sc1 Mn1 V3'
_cell_length_a 4.3730
_cell_length_b 4.3730
_cell_length_c 4.3730
_cell_angle_alpha 90.00
_cell_angle_beta 90.00
_cell_angle_gamma 90.00
_symmetry_space_group_name_H-M 'P m -3 m'
_symmetry_Int_Tables_number 221
_symmetry_space_group_name_Hall '-P 4 2 3'
loop_
_atom_site_label
_atom_site_type_symbol
_atom_site_fract_x
_atom_site_fract_y
_atom_site_fract_z
Sc1 Sc 0.0000 0.0000 0.0000
Mn1 Mn 0.5000 0.5000 0.5000
V1 V 0.0000 0.5000 0.5000
# energy relative to the elements = 497 meV/atom
# ρ = 5.02 g/cm3
# energy = -40.4 eV per cell
# spin magnetization = 0.7 μB/cell
# crystal system = cubic
# Fermi-level density of states = 6.38 states/eV/cell

# AlCu2Sb PBE-GGA optimized geometry
data_AlCu2Sb
_chemical_formula_sum 'Al3 Cu6 Sb3'
_cell_length_a 3.2211
_cell_length_b 3.2211
_cell_length_c 23.2598
_cell_angle_alpha 90.00
_cell_angle_beta 90.00
_cell_angle_gamma 120.00
_symmetry_space_group_name_H-M 'R -3 m'
_symmetry_Int_Tables_number 166
_symmetry_space_group_name_Hall '-R 3 2"'
loop_
_atom_site_label
_atom_site_type_symbol
_atom_site_fract_x
_atom_site_fract_y
_atom_site_fract_z
Al1 Al 0.0000 0.0000 0.0000
Cu1 Cu 0.0000 0.0000 0.2559
Sb1 Sb 0.0000 0.0000 0.5000
# energy relative to the elements, uncorrected = 0.150 eV per atom
# ρ = 6.57 g/cm3
# energy = -46.4 eV per cell
# spin magnetization = 0.0 μB/cell
# crystal system = trigonal
# Fermi-level density of states = 7.34 states/eV/cell